(1)
8
Lattice="3.723 0.000 0.000 0.000 3.723 0.000 0.000 0.000 8.401" Properties=species:S:1:pos:R:3 comment="PBE Mo2POs, optimized geometry" e_form_ev_per_atom=0.1900 density_g_cm3=11.8 pbc="T T T"
Mo 0.000 0.000 0.000
Mo 0.000 1.861 2.100
Mo 1.861 0.000 6.301
Mo 1.861 1.861 4.201
P 0.000 0.000 4.201
P 1.861 1.861 0.000
Os 0.000 1.861 6.301
Os 1.861 0.000 2.100

(2)
5
Lattice="4.338 0.000 0.000 0.000 4.338 0.000 0.000 0.000 4.338" Properties=species:S:1:pos:R:3 comment="PBE MoPOs3, optimized geometry" e_form_ev_per_atom=1.0225 polymorph_energy_ev_per_atom=0.000 density_g_cm3=14.2 pbc="T T T"
Mo 0.000 0.000 0.000
P 2.169 2.169 2.169
Os 0.000 2.169 2.169
Os 2.169 0.000 2.169
Os 2.169 2.169 0.000

(3)
4
Lattice="2.836 0.000 0.000 0.000 4.015 0.000 -1.340 0.000 4.997" Properties=species:S:1:pos:R:3 comment="PBE MoPOs2, optimized geometry" e_form_ev_per_atom=0.0197 density_g_cm3=14.8 pbc="T T T"
Mo 0.000 0.000 0.000
P -0.670 0.000 2.498
Os 0.037 2.007 3.664
Os 1.458 2.007 1.333

(4)
6
Lattice="2.908 0.000 0.000 0.000 2.908 0.000 0.000 0.000 9.760" Properties=species:S:1:pos:R:3 comment="PBE MoPOs, optimized geometry" e_form_ev_per_atom=-0.1707 density_g_cm3=12.8 pbc="T T T"
Mo 0.000 0.000 0.000
Mo 1.454 1.454 4.880
P 0.000 0.000 6.407
P 1.454 1.454 1.527
Os 0.000 0.000 2.981
Os 1.454 1.454 7.861

(5)
3
Lattice="2.835 0.000 0.000 -1.418 2.455 0.000 0.000 0.000 6.099" Properties=species:S:1:pos:R:3 comment="PBE MoPOs, optimized geometry" e_form_ev_per_atom=0.0448 density_g_cm3=12.4 pbc="T T T"
Mo 0.000 0.000 0.000
P 0.000 1.637 4.081
Os 1.418 0.818 2.244

(6)
12
Lattice="2.969 0.000 0.000 0.000 4.874 0.000 0.000 0.000 12.091" Properties=species:S:1:pos:R:3 comment="PBE MoPOs, optimized geometry" e_form_ev_per_atom=0.3601 density_g_cm3=12.0 pbc="T T T"
Mo 0.000 0.000 0.000
Mo 0.000 2.437 6.045
Mo 1.484 0.000 6.045
Mo 1.484 2.437 0.000
P 0.000 0.000 7.959
P 0.000 2.437 1.914
P 1.484 0.000 1.914
P 1.484 2.437 7.959
Os 0.000 0.000 3.736
Os 0.000 2.437 9.782
Os 1.484 0.000 9.782
Os 1.484 2.437 3.736

(7)
4
Lattice="2.871 0.000 0.000 0.000 4.445 0.000 0.000 0.000 4.488" Properties=species:S:1:pos:R:3 comment="PBE MoPOs2, optimized geometry" e_form_ev_per_atom=0.2499 density_g_cm3=14.7 pbc="T T T"
Mo 0.000 0.000 0.000
P 1.436 0.000 2.244
Os 0.000 2.223 2.244
Os 1.436 2.223 0.000

(8)
4
Lattice="3.637 0.000 0.000 0.000 3.637 0.000 0.000 0.000 4.406" Properties=species:S:1:pos:R:3 comment="PBE Mo2POs, optimized geometry" e_form_ev_per_atom=0.2564 density_g_cm3=11.8 pbc="T T T"
Mo 0.000 1.818 0.000
Mo 1.818 0.000 0.000
P 0.000 0.000 2.203
Os 1.818 1.818 2.203